1.
An optimized crystal structure of AcAgAsPt. Source: Alexandria, functional PBE-GGA.

a b c (Å): 7.170 7.170 7.170
angles (deg): 90.00 90.00 90.00
Space group F-43m (No. 216)
Symmetry-distinct sites (fractional):
Ac: 0.000 0.000 0.000
Ag: 0.250 0.250 0.750
As: 0.000 0.000 0.500
Pt: 0.250 0.250 0.250

Properties
The calculation puts the density of states at the Fermi level at 0.716 states/eV/atom. The value obtained for the mass density is 10.90 g/cm3. The formation energy comes out at -0.392 eV per atom. For the total energy, the calculation gives -4.805 eV/atom.

***

2.
An optimized crystal structure of AcPuAgAs. Source: Alexandria, functional PBE-GGA.

a b c (Å): 7.554 7.554 7.554
angles (deg): 90.00 90.00 90.00
Space group F-43m (No. 216)
Symmetry-distinct sites (fractional):
Ac: 0.000 0.000 0.000
Pu: 0.000 0.000 0.500
Ag: 0.250 0.250 0.250
As: 0.250 0.250 0.750

Properties
The calculation puts the density of states at the Fermi level at 2.930 states/eV/atom. The value obtained for the mass density is 10.07 g/cm3. The formation energy comes out at -0.466 eV per atom. For the total energy, the calculation gives -6.951 eV/atom.

***

3.
An optimized crystal structure of Ac2AgAs4Rh3. Source: Alexandria, functional PBE-GGA.

a b c (Å): 4.492 4.492 10.117
angles (deg): 90.00 90.00 90.00
Space group P-4m2 (No. 115)
Symmetry-distinct sites (fractional):
Ac: 0.000 0.500 0.245
Ag: 0.000 0.000 0.500
As: 0.000 0.000 0.000
As: 0.000 0.500 0.641
As: 0.500 0.500 0.000
Rh: 0.000 0.500 0.889
Rh: 0.500 0.500 0.500

Properties
The calculation puts the density of states at the Fermi level at 0.509 states/eV/atom. The value obtained for the mass density is 9.52 g/cm3. The formation energy comes out at -0.836 eV per atom. For the total energy, the calculation gives -6.008 eV/atom.

***

4.
An optimized crystal structure of AcAgAsS4. Source: Alexandria, functional PBE-GGA.

a b c (Å): 6.843 6.843 7.699
angles (deg): 90.00 90.00 90.00
Space group I-4 (No. 82)
Symmetry-distinct sites (fractional):
Ac: 0.000 0.000 0.000
Ag: 0.000 0.000 0.500
As: 0.000 0.500 0.250
S: 0.205 0.766 0.325

Properties
The formation energy from raw total energies is -4.689 eV/f.u. The calculation puts the density of states at the Fermi level at 0.579 states/eV/atom. The value obtained for the mass density is 4.96 g/cm3. For the total energy, the calculation gives -4.687 eV/atom.

***

5.
An optimized crystal structure of SrAcAgAs. Source: Alexandria, functional PBE-GGA.

a b c (Å): 7.767 7.767 7.767
angles (deg): 90.00 90.00 90.00
Space group F-43m (No. 216)
Symmetry-distinct sites (fractional):
Sr: 0.000 0.000 0.000
Ac: 0.000 0.000 0.500
Ag: 0.250 0.250 0.750
As: 0.250 0.250 0.250

Properties
The calculation puts the density of states at the Fermi level at 0.605 states/eV/atom. The value obtained for the mass density is 7.05 g/cm3. The formation energy comes out at -0.640 eV per atom. For the total energy, the calculation gives -3.963 eV/atom.

***

6.
An optimized crystal structure of Ac8AgTe4As3. Source: Alexandria, functional PBE-GGA.

a b c (Å): 9.2580 9.2580 23.0827
angles (deg): 90.00 90.00 120.00
Space group R-3m (No. 166, hexagonal axes)
Symmetry-distinct sites (fractional):
Ac: 0.0000 0.0000 0.2409
Ac: 0.0057 0.5028 0.7567
Ag: 0.0000 0.0000 0.5000
Te: 0.0000 0.0000 0.0000
Te: 0.0000 0.5000 0.0000
As: 0.0000 0.5000 0.5000

Properties
The formation energy from raw total energies is -21.673 eV/f.u. The calculation puts the density of states at the Fermi level at 0.682 states/eV/atom. The value obtained for the mass density is 7.73 g/cm3. For the total energy, the calculation gives -5.244 eV/atom.

***

7.
An optimized crystal structure of AcAgTeAs. Source: Alexandria, functional PBE-GGA.

a b c (Å): 7.537 7.537 7.537
angles (deg): 90.00 90.00 90.00
Space group F-43m (No. 216)
Symmetry-distinct sites (fractional):
Ac: 0.000 0.000 0.000
Ag: 0.250 0.250 0.250
Te: 0.000 0.000 0.500
As: 0.250 0.250 0.750

Properties
The formation energy from raw total energies is -1.506 eV/f.u. The calculation puts the density of states at the Fermi level at 0.592 states/eV/atom. The value obtained for the mass density is 8.34 g/cm3. For the total energy, the calculation gives -4.064 eV/atom.

***

8.
An optimized crystal structure of Ac8Ag2Au. Source: Alexandria, functional PBE-GGA.

a b c (Å): 19.863 5.657 7.545
angles (deg): 90.00 104.83 90.00
Space group C2/m (No. 12)
Symmetry-distinct sites (fractional):
Ac: 0.026 0.000 0.280
Ac: 0.090 0.500 0.954
Ac: 0.165 0.500 0.484
Ac: 0.202 0.000 0.837
Ag: 0.183 0.000 0.243
Au: 0.000 0.500 0.500

Properties
The calculation puts the density of states at the Fermi level at 1.082 states/eV/atom. The value obtained for the mass density is 9.03 g/cm3. The formation energy comes out at -0.185 eV per atom. For the total energy, the calculation gives -3.989 eV/atom.

***

no.,magnetic moment (μB per cell)
1,0.0
2,27.2
3,0.0
4,0.0
5,0.0
6,0.0
7,0.0
8,0.0